# 1
# BaCrOF2

A relaxed structure of BaCrOF2 (GGA+U, Alexandria via LeMat-Bulk).

a = 4.313 Å, b = 4.313 Å, c = 4.108 Å
α = 90.00°, β = 90.00°, γ = 90.00°
Last column: magnetic moment on the atom in μB.
Fractional positions:
Cr1 0.000 0.000 0.000  3.79
Ba1 0.500 0.500 0.500  0.01
O1 0.000 0.000 0.500  0.01
F1 0.000 0.500 0.000  0.02
F2 0.500 0.000 0.000  0.02

Properties
Total DFT energy (no corrections) in Ry/atom: -0.4654
Symmetry: P4/mmm (123)
Theoretical density in g/cm3: 5.29

# 2
# BaCrOF2

A relaxed structure of BaCrOF2 (GGA+U, Alexandria via LeMat-Bulk).

a = 6.091 Å, b = 6.091 Å, c = 5.991 Å
α = 120.55°, β = 120.55°, γ = 90.00°
Last column: magnetic moment on the atom in μB.
Fractional positions:
Ba1 0.750 0.250 0.500  0.01
Ba2 0.250 0.750 0.500  0.01
Cr1 0.000 0.000 0.000  3.80
Cr2 0.500 0.500 0.000  3.80
O1 0.750 0.750 0.500  0.01
O2 0.250 0.250 0.500  0.01
F1 0.195 0.695 0.000  0.02
F2 0.695 0.805 0.000  0.02
F3 0.805 0.305 0.000  0.02
F4 0.305 0.195 0.000  0.02

Properties
Total DFT energy (no corrections) in Ry/atom: -0.4671
Symmetry: I4/mcm (140)
Theoretical density in g/cm3: 5.23

# 3
# Ba2CrOF5

A relaxed structure of Ba2CrOF5 (GGA+U, Alexandria via LeMat-Bulk).

a = 5.958 Å, b = 5.958 Å, c = 5.958 Å
α = 85.62°, β = 122.56°, γ = 122.56°
Last column: magnetic moment on the atom in μB.
Fractional positions:
Ba1 0.500 0.247 0.747  0.01
Ba2 0.500 0.747 0.247  0.01
Cr1 0.000 0.989 0.989  2.92
O1 0.000 0.777 0.777  0.00
F1 0.483 0.244 0.244  0.00
F2 0.517 0.762 0.762  0.00
F3 0.000 0.762 0.244  0.00
F4 0.000 0.244 0.762  0.00
F5 0.000 0.228 0.228  0.00

Properties
Total DFT energy (no corrections) in Ry/atom: -0.4443
Symmetry: I4mm (107)
Theoretical density in g/cm3: 5.07